a.
NaAlMo2O8: optimized geometry, PBE+U.

Structure (extended XYZ):
```
12
Lattice="-1.690 -5.352 0.474 4.537 1.257 -3.091 3.737 -0.721 5.191" Properties=species:S:1:pos:R:3 pbc="T T T"
Na 1.869 -0.360 2.596
Al 0.000 0.000 0.000
Mo 5.220 -1.478 1.929
Mo 1.364 -3.337 0.645
O 4.228 -1.036 3.379
O 6.639 -0.368 1.736
O 5.741 -3.212 1.988
O 0.843 -1.603 0.585
O 2.377 -3.532 2.051
O 4.207 -1.282 0.523
O 2.356 -3.779 -0.806
O -0.055 -4.447 0.837
```

Values from the calculation:
As for the space-group type: No. 164.


b.
NaAlMo2O8: optimized geometry, PBE+U.

Structure (extended XYZ):
```
24
Lattice="5.564 0.032 0.006 2.979 4.700 0.006 0.056 0.031 13.766" Properties=species:S:1:pos:R:3 pbc="T T T"
Na 3.170 4.388 3.447
Na 5.430 0.375 10.330
Al 0.028 0.016 6.883
Al 0.000 0.000 0.000
Mo 5.823 3.031 1.600
Mo 2.777 1.732 12.177
Mo 5.687 3.343 8.483
Mo 2.913 1.420 5.294
O 5.486 3.541 3.238
O 4.549 3.757 0.572
O 5.626 1.879 7.455
O 1.546 0.327 5.790
O 4.051 1.006 13.205
O 4.509 0.524 5.378
O 5.941 2.788 10.121
O 2.865 3.560 12.261
O 2.659 1.976 3.657
O 1.126 1.153 12.673
O 3.114 1.222 10.540
O 7.054 4.436 7.987
O 2.974 2.884 6.322
O 5.735 1.203 1.517
O 4.091 4.239 8.400
O 7.474 3.610 1.104
```

Values from the calculation:
As for the space-group type: No. 15.


Most stable: b